DFT (GGA-PBE) results for crystalline TbTmCd at its relaxed geometry.

The space group is I4mm (No. 107) and the conventional cell measures 3.576, 3.576 and 13.049 Å, with angles of 90.00, 90.00 and 90.00 degrees. Symmetry generates all atoms from Tb at (0.000, 0.000, 0.000), Tm at (0.000, 0.000, 0.314) and Cd at (0.000, 0.000, 0.661).

The density comes out at 8.8 Mg/m³. The size of the total moment is 1.76 Bohr magnetons per cell. The uncorrected energy is -21.172 eV for the cell shown. For the volume, the calculation gives 27.8 Å³ per atom.